Density functional theory data (PBE) for PrSm6Tm4 after structural relaxation.

extended XYZ file:
```
22
Lattice="5.7937 0.0000 0.0000 -2.8968 4.8389 0.0000 0.0000 0.0000 25.8210" Properties=species:S:1:pos:R:3 pbc="T T T"
Pr 0.0000 1.9583 19.3658
Pr 2.8968 2.8806 6.4553
Tm 0.0000 1.4856 1.1175
Tm 0.0000 4.4866 9.7335
Tm 2.8969 0.3524 22.6440
Tm 2.8968 3.3533 14.0280
Tm 0.0000 4.4866 3.1770
Tm 2.8969 0.3524 16.0875
Tm 0.0000 1.4856 11.7930
Tm 2.8968 3.3533 24.7036
Sm 0.0000 4.4594 6.4553
Sm 0.0000 1.8902 15.4629
Sm 2.8968 0.0000 12.9105
Sm 2.8968 0.0000 0.0000
Sm 0.0000 1.8902 23.2686
Sm 0.0000 1.2651 4.6577
Sm 0.0000 1.2651 8.2529
Sm 2.8968 0.3795 19.3658
Sm 2.8968 3.5739 17.5682
Sm 2.8969 2.9487 10.3581
Sm 2.8968 3.5739 21.1634
Sm 2.8969 2.9487 2.5524
```

Properties
- space group = Cmcm
- polymorph energy (0 for the lowest one) (kJ per mole of atoms) = 0.00
- V (Å³ per cell) = 723.9
- crystal system = orthorhombic
- total magnetic moment (μB/f.u.) = 0.00
- formation energy (eV/atom) = 0.1154